Record 1
The following is a DFT calculation (PBE) of crystalline Ni4RhCl at its relaxed geometry.

Structure (extended XYZ):
```
6
Lattice="-0.781 -4.738 -0.250 -3.498 -1.714 -2.818 1.107 -2.411 -4.010" Properties=species:S:1:pos:R:3 pbc="T T T"
Ni -1.580 -5.687 -2.782
Ni -0.640 -4.529 -4.654
Ni -1.191 -3.328 -2.658
Rh -2.379 -6.647 -5.308
Ni -2.933 -4.182 -4.061
Cl 0.000 0.000 0.000
```

Summary:
The space group is F-43m, No. 216. As for the total energy: -4.8504 eV/atom. The uncorrected formation energy comes out at 0.54 eV/atom. The calculation puts the total moment at 3.71 Bohr magnetons per cell.



Record 2
The following is a DFT calculation (PBE) of crystalline NaAc2Sn3Au4 at its relaxed geometry.

Structure (extended XYZ):
```
10
Lattice="-3.962 -0.732 2.571 2.433 -2.894 2.925 2.626 8.842 6.564" Properties=species:S:1:pos:R:3 pbc="T T T"
Au -0.765 -1.813 2.748
Sn 1.560 -0.290 2.321
Na 0.548 2.608 6.030
Ac 3.234 5.348 6.507
Au 2.183 1.807 3.878
Sn 0.301 7.319 6.991
Sn 1.313 4.421 3.282
Ac -1.373 1.681 2.805
Au -0.322 5.222 5.434
Au 0.000 0.000 0.000
```

Summary:
The space group is P-4m2, No. 115. As for the total energy: -4.0688 eV/atom. For the energy of formation from the pure elements, the calculation gives -58 kJ per mole of atoms. The calculation puts the total moment at 0.00 Bohr magnetons per cell.



Record 3
The following is a DFT calculation (PBE) of crystalline Zn3GaAu7 at its relaxed geometry.

Structure (extended XYZ):
```
11
Lattice="-1.223 1.794 4.491 -5.495 -0.892 -4.151 1.118 -6.854 0.031" Properties=species:S:1:pos:R:3 pbc="T T T"
Zn -3.969 -2.267 -3.186
Au -1.053 -1.015 0.218
Zn -0.612 0.897 2.246
Au -1.942 -5.670 1.391
Zn -0.408 -5.478 -0.934
Au 0.002 -3.582 1.295
Au -4.548 -4.937 0.153
Au -5.602 -2.370 -0.924
Ga -2.800 -2.976 0.185
Au -2.189 -3.873 -2.060
Au -3.659 -0.282 -1.020
```

Summary:
The space group is C2/m, No. 12. As for the total energy: -2.8039 eV/atom. For the energy of formation from the pure elements, the calculation gives -9 kJ per mole of atoms. The calculation puts the total moment at 0.00 Bohr magnetons per cell.



Record 4
The following is a DFT calculation (PBE) of crystalline LaNiTeN2 at its relaxed geometry.

Structure (extended XYZ):
```
5
Lattice="-1.316 -4.007 -0.446 1.893 -1.028 3.653 -4.072 1.070 2.411" Properties=species:S:1:pos:R:3 pbc="T T T"
La -1.748 -1.983 2.809
N 0.946 -0.514 1.827
N -0.658 -2.004 -0.223
Te -2.036 0.535 1.206
Ni 0.000 0.000 0.000
```

Summary:
The space group is P4/mmm, No. 123. As for the total energy: -5.5653 eV/atom. The uncorrected formation energy comes out at 0.53 eV/atom. The calculation puts the total moment at 1.75 Bohr magnetons per cell.



Record 5
The following is a DFT calculation (PBE) of crystalline LiMnTlI5 at its relaxed geometry.

Structure (extended XYZ):
```
16
Lattice="-4.496 1.338 7.100 -5.368 -3.015 -5.874 6.689 -7.903 2.201" Properties=species:S:1:pos:R:3 pbc="T T T"
I -3.625 -4.439 2.367
Tl 0.249 -5.950 4.698
I -3.641 -4.717 -4.509
I 0.467 -4.863 7.937
I -1.091 -2.524 4.990
Li 3.345 -3.952 1.101
Tl -3.423 -3.631 -1.271
I -2.083 -7.057 -1.562
I -4.938 -0.661 4.624
I 0.450 -5.142 1.060
I 1.764 -8.920 -1.196
Li 0.000 0.000 0.000
I -2.818 -0.809 1.095
Mn -0.061 -7.496 0.087
I -0.356 -8.772 2.332
Mn -3.113 -2.084 3.340
```

Summary:
The space group is C2/c, No. 15. As for the total energy: -3.2261 eV/atom. The uncorrected formation energy comes out at -0.58 eV/atom. The calculation puts the total moment at 7.99 Bohr magnetons per cell.



Record 6
The following is a DFT calculation (PBE) of crystalline Ho2PaCo2 at its relaxed geometry.

Structure (extended XYZ):
```
5
Lattice="3.302 0.003 1.404 0.921 5.353 2.407 -0.553 0.628 5.881" Properties=species:S:1:pos:R:3 pbc="T T T"
Ho 2.862 4.514 4.721
Pa 2.111 2.678 1.905
Co 3.630 4.654 7.499
Ho 0.808 1.469 4.971
Co 0.040 1.329 2.193
```

Summary:
The space group is Immm, No. 71. As for the total energy: -6.9322 eV/atom. For the energy of formation from the pure elements, the calculation gives -35 kJ per mole of atoms. The calculation puts the total moment at 0.00 Bohr magnetons per cell.